The following is a GGA-PBE calculation of a relaxed PaNiSb2 crystal, from Alexandria.

The value obtained for the uncorrected energy is -5.4329 eV/atom. The calculation puts the size of the total moment at 3.10 μB/cell. For the energy above the most stable polymorph in this dataset, the calculation gives 995 meV per atom.

It has space group R-3m (No. 166, hexagonal axes), with a = 4.4965 Å, b = 4.4965 Å, c = 24.4924 Å, α = 90.00°, β = 90.00° and γ = 120.00°. The inequivalent atoms are Pa at (0.0000, 0.0000, 0.0000), Ni at (0.0000, 0.0000, 0.5000) and Sb at (0.0000, 0.0000, 0.4001).